Ba2SrZn | meta-GGA SCAN | single point on PBEsol structure

Geometry as POSCAR:
```
Ba2SrZn
1.0
4.124 0.000 0.000
0.000 6.190 0.000
-2.062 -3.095 6.743
Sr Zn Ba
1 1 2
Direct
0.561 0.561 0.122
0.247 0.747 0.494
0.940 0.940 0.880
0.752 0.252 0.504
```

## Properties
M_tot   0.04 μB/cell
Space group   Imm2 (44)
Energy of formation from the pure elements   -0.0518 eV/atom